1.
Here is Ti4Pd at its PBEsol-relaxed geometry from the Alexandria database. Energies are from SCAN.

Output
The total energy is -19.63 eV/atom. For the formation energy, the calculation gives -123 kJ/mol of formula units.

```
Ti4Pd
1.0
-1.535 1.535 8.419
1.535 -1.535 8.419
1.535 1.535 -8.419
Ti Pd
4 1
Direct
0.096 0.096 0.000 Ti
0.303 0.303 0.000 Ti
0.697 0.697 0.000 Ti
0.904 0.904 0.000 Ti
0.500 0.500 0.000 Pd
```


2.
Here is Ti3PdW at its PBEsol-relaxed geometry from the Alexandria database. Energies are from SCAN.

Output
The total energy is -29.22 eV/atom. For the formation energy, the calculation gives 431 kJ/mol of formula units.

```
Ti3PdW
1.0
4.668 0.000 0.000
0.000 4.668 0.000
0.000 0.000 4.668
Ti Pd W
3 1 1
Direct
0.000 0.000 0.500 Ti
0.000 0.500 0.000 Ti
0.500 0.000 0.000 Ti
0.500 0.500 0.500 Pd
0.000 0.000 0.000 W
```


3.
Here is TiZnPd3 at its PBEsol-relaxed geometry from the Alexandria database. Energies are from SCAN.

Output
The total energy is -25.00 eV/atom. For the formation energy, the calculation gives 277 kJ/mol of formula units.

```
TiZnPd3
1.0
4.560 0.000 0.000
0.000 4.560 0.000
0.000 0.000 4.560
Ti Zn Pd
1 1 3
Direct
0.000 0.000 0.000 Ti
0.500 0.500 0.500 Zn
0.000 0.000 0.500 Pd
0.000 0.500 0.000 Pd
0.500 0.000 0.000 Pd
```


4.
Here is TiZnPd2 at its PBEsol-relaxed geometry from the Alexandria database. Energies are from SCAN.

Output
The total energy is -24.41 eV/atom. For the formation energy, the calculation gives -245 kJ/mol of formula units.

```
TiZnPd2
1.0
0.000 3.065 3.065
3.065 0.000 3.065
3.065 3.065 0.000
Ti Zn Pd
1 1 2
Direct
0.000 0.000 0.000 Ti
0.500 0.500 0.500 Zn
0.250 0.250 0.250 Pd
0.750 0.750 0.750 Pd
```


Q: The highest total energy belongs to which entry?
A: Ti4Pd


Q: Look up the total energy of the second one.
A: -29.22 eV/atom


Q: total energy of number 4 (TiZnPd2)?
A: -24.41 eV/atom


Q: The highest total energy belongs to which entry?
A: Ti4Pd